Record 1
Here is CaTm after structural relaxation from Alexandria. Energies are from PBE.

abc: 3.6416 5.0675 7.6688
angles: 90.00 90.07 90.00
Closest atoms and distances in Å follow each position.
Space group P2_1/m (No. 11)
Inequivalent atoms, fractional coordinates:
Ca 0.2503 0.2500 0.1379 (multiplicity 2)  5 Tm 3.58-3.69, 6 Ca 3.64-3.77
Tm 0.2499 0.2500 0.6049 (multiplicity 2)  6 Tm 3.51-3.64, 5 Ca 3.58-3.69

Values from the calculation:
ΔH_f (0 K)   141 meV per atom
N(E_F)   3.06 states/eV/f.u.


Record 2
Here is B3NF after structural relaxation from Alexandria. Energies are from PBE.

abc: 3.5615 3.5615 3.5615
angles: 90.00 90.00 90.00
Closest atoms and distances in Å follow each position.
Space group Pm-3m (No. 221)
Inequivalent atoms, fractional coordinates:
B 0.0000 0.0000 0.5000 (multiplicity 3)  2 N 1.78
N 0.0000 0.0000 0.0000 (multiplicity 1)  6 B 1.78
F 0.5000 0.5000 0.5000 (multiplicity 1)  12 B 2.52

Values from the calculation:
N(E_F)   3.95 states/eV/f.u.
Uncorrected formation energy   1.95 eV/atom


Record 3
Here is Re2Hg after structural relaxation from Alexandria. Energies are from PBE.

abc: 2.8827 14.6939 4.6302
angles: 90.00 90.00 90.00
Closest atoms and distances in Å follow each position.
Space group Cmcm (No. 63)
Inequivalent atoms, fractional coordinates:
Re 0.0000 0.0582 0.2500 (multiplicity 4)  6 Re 2.74-2.88, 6 Hg 2.84-2.88
Re 0.0000 0.2836 0.7500 (multiplicity 4)  8 Re 2.74-2.90, 4 Hg 2.78-2.91
Hg 0.0000 0.3886 0.2500 (multiplicity 4)  10 Re 2.78-2.91, 2 Hg 2.88

Values from the calculation:
ΔH_f (0 K)   718 meV per atom
N(E_F)   2.32 states/eV/f.u.


Record 4
Here is PrMgAlPd after structural relaxation from Alexandria. Energies are from PBE.

abc: 7.0193 7.0193 7.0193
angles: 90.00 90.00 90.00
Closest atoms and distances in Å follow each position.
Space group F-43m (No. 216)
Inequivalent atoms, fractional coordinates:
Pr 0.0000 0.0000 0.0000 (multiplicity 4)  4 Al 3.04, 4 Pd 3.04
Mg 0.0000 0.0000 0.5000 (multiplicity 4)  4 Pd 3.04, 4 Al 3.04
Al 0.2500 0.2500 0.2500 (multiplicity 4)  4 Pr 3.04, 4 Mg 3.04
Pd 0.2500 0.2500 0.7500 (multiplicity 4)  4 Pr 3.04, 4 Mg 3.04

Values from the calculation:
ΔH_f (0 K)   -463 meV per atom
N(E_F)   2.75 states/eV/f.u.


Record 5
Here is Sr2YAg after structural relaxation from Alexandria. Energies are from PBE.

abc: 4.2372 4.2372 31.7157
angles: 90.00 90.00 120.00
Closest atoms and distances in Å follow each position.
Space group R3m (No. 160, hexagonal axes)
Inequivalent atoms, fractional coordinates:
Sr 0.0000 0.0000 0.0000 (multiplicity 3)  3 Ag 3.22
Sr 0.0000 0.0000 0.2176 (multiplicity 3)  3 Y 4.03, 9 Sr 4.24-4.41
Y 0.0000 0.0000 0.4500 (multiplicity 3)  3 Ag 2.93
Ag 0.0000 0.0000 0.7325 (multiplicity 3)  3 Y 2.93, 3 Sr 3.22

Values from the calculation:
ΔH_f (0 K)   31 meV per atom
N(E_F)   4.96 states/eV/f.u.


Record 6
Here is InAsBrO4 after structural relaxation from Alexandria. Energies are from PBE.

abc: 11.4953 6.1454 6.4936
angles: 90.00 103.12 90.00
Closest atoms and distances in Å follow each position.
Space group C2/m (No. 12)
Inequivalent atoms, fractional coordinates:
In 0.2016 0.0000 0.3351 (multiplicity 4)  6 O 2.12-2.31
As 0.1347 0.0000 0.7711 (multiplicity 4)  4 O 1.68-1.77
Br 0.0288 0.5000 0.1811 (multiplicity 4)  1 Br 2.29
O 0.0119 0.0000 0.2338 (multiplicity 4)  1 As 1.68
O 0.1750 0.2109 0.6155 (multiplicity 8)  1 As 1.77
O 0.2228 0.0000 0.0194 (multiplicity 4)  1 As 1.70

Values from the calculation:
Uncorrected formation energy   -1.04 eV/atom


Record 7
Here is SrCdRe2 after structural relaxation from Alexandria. Energies are from PBE.

abc: 3.3201 4.6543 5.0756
angles: 90.00 90.00 90.00
Closest atoms and distances in Å follow each position.
Space group Pmmm (No. 47)
Inequivalent atoms, fractional coordinates:
Sr 0.0000 0.0000 0.0000 (multiplicity 1)  4 Cd 2.86, 4 Re 3.03
Cd 0.5000 0.5000 0.0000 (multiplicity 1)  4 Sr 2.86, 4 Re 3.03
Re 0.0000 0.5000 0.5000 (multiplicity 1)  4 Re 2.86, 4 Cd 3.03
Re 0.5000 0.0000 0.5000 (multiplicity 1)  4 Re 2.86, 4 Sr 3.03

Values from the calculation:
ΔH_f (0 K)   1056 meV per atom
N(E_F)   3.47 states/eV/f.u.


Record 8
Here is Tm4ScP5 after structural relaxation from Alexandria. Energies are from PBE.

abc: 8.7465 8.7465 5.5412
angles: 90.00 90.00 90.00
Closest atoms and distances in Å follow each position.
Space group I4/m (No. 87)
Inequivalent atoms, fractional coordinates:
Tm 0.0984 0.2997 0.0000 (multiplicity 8)  6 P 2.76-2.81
Sc 0.0000 0.0000 0.5000 (multiplicity 2)  6 P 2.71-2.77
P 0.0000 0.0000 0.0000 (multiplicity 2)  4 Tm 2.76, 2 Sc 2.77
P 0.0982 0.2944 0.5000 (multiplicity 8)  1 Sc 2.71, 5 Tm 2.77-2.81

Values from the calculation:
ΔH_f (0 K)   -1573 meV per atom
N(E_F)   0.78 states/eV/f.u.


Record 9
Here is CsSbI2N after structural relaxation from Alexandria. Energies are from PBE.

abc: 6.5696 6.5696 4.0686
angles: 90.00 90.00 90.00
Closest atoms and distances in Å follow each position.
Space group P4/mmm (No. 123)
Inequivalent atoms, fractional coordinates:
Cs 0.0000 0.0000 0.0000 (multiplicity 1)  8 I 3.86, 2 Cs 4.07
Sb 0.5000 0.5000 0.5000 (multiplicity 1)  2 N 2.03
I 0.0000 0.5000 0.5000 (multiplicity 2)  2 Sb 3.28
N 0.5000 0.5000 0.0000 (multiplicity 1)  2 Sb 2.03

Values from the calculation:
N(E_F)   1.76 states/eV/f.u.
Uncorrected formation energy   -0.11 eV/atom


Record 10
Here is SrHf2Nb after structural relaxation from Alexandria. Energies are from PBE.

abc: 5.4372 5.4372 18.8546
angles: 90.00 90.00 90.00
Closest atoms and distances in Å follow each position.
Space group I4_1/amd (No. 141, origin choice 2)
Inequivalent atoms, fractional coordinates:
Sr 0.0000 0.2500 0.3750 (multiplicity 4)  4 Nb 3.84, 8 Hf 3.85
Hf 0.0000 0.0000 0.0000 (multiplicity 8)  2 Hf 2.72, 2 Nb 2.72
Nb 0.0000 0.2500 0.8750 (multiplicity 4)  4 Hf 2.72

Values from the calculation:
ΔH_f (0 K)   1335 meV per atom
N(E_F)   5.51 states/eV/f.u.


Record 11
Here is BaTiIN2 after structural relaxation from Alexandria. Energies are from PBE.

abc: 4.5770 4.5770 6.5077
angles: 90.00 90.00 90.00
Closest atoms and distances in Å follow each position.
Space group P4/mmm (No. 123)
Inequivalent atoms, fractional coordinates:
Ba 0.0000 0.0000 0.0000 (multiplicity 1)  4 N 2.29
Ti 0.5000 0.5000 0.5000 (multiplicity 1)  4 I 3.24
I 0.0000 0.0000 0.5000 (multiplicity 1)  4 Ti 3.24, 2 Ba 3.25
N 0.0000 0.5000 0.0000 (multiplicity 2)  2 Ba 2.29

Values from the calculation:
N(E_F)   11.11 states/eV/f.u.
Uncorrected formation energy   1.70 eV/atom


Record 12
Here is TaMn after structural relaxation from Alexandria. Energies are from PBE.

abc: 7.0837 7.0837 4.2944
angles: 90.00 90.00 120.00
Closest atoms and distances in Å follow each position.
Space group P6_3/m (No. 176)
Inequivalent atoms, fractional coordinates:
Ta 0.1436 0.8076 0.2500 (multiplicity 6)  4 Mn 2.49-2.59
Mn 0.1207 0.5918 0.7500 (multiplicity 6)  2 Mn 2.29, 2 Ta 2.49-2.51

Values from the calculation:
ΔH_f (0 K)   328 meV per atom
N(E_F)   1.92 states/eV/f.u.